Material: VSiPd2
Method: DFT, PBE
State: relaxed

The structure in POSCAR format:
```
VSiPd2
1.0
-1.982 1.601 -2.767
2.675 -0.951 -2.467
-3.711 -7.252 -4.094
Pd V Si
4 2 2
Direct
0.875 0.870 0.750
0.620 0.125 0.250
0.130 0.625 0.250
0.375 0.380 0.750
0.750 0.250 0.500
0.000 0.000 0.000
0.500 0.500 0.000
0.250 0.750 0.500
```

ΔE_f (raw) = -63.6 meV per atom

=====

Material: Tb12Tm6In
Method: DFT, PBE
State: relaxed

The structure in POSCAR format:
```
Tb12Tm6In
1.0
-5.685 6.266 1.062
-5.543 -6.265 -1.656
1.256 -1.774 8.246
Tm Tb In
6 12 1
Direct
0.135 0.136 0.407
0.593 0.865 0.864
0.407 0.135 0.136
0.865 0.864 0.593
0.864 0.593 0.865
0.136 0.407 0.135
0.000 0.740 0.260
0.421 0.828 0.422
0.260 0.000 0.740
0.260 0.740 0.000
0.740 0.260 0.000
0.828 0.422 0.421
0.000 0.260 0.740
0.740 0.000 0.260
0.579 0.172 0.578
0.422 0.421 0.828
0.172 0.578 0.579
0.578 0.579 0.172
0.000 0.000 0.000
```

energy of formation from the pure elements = 97 meV per atom

=====

Material: ThCSe
Method: DFT, PBE
State: relaxed

The structure in POSCAR format:
```
ThCSe
1.0
-0.688 0.735 -4.068
-1.961 -3.699 -0.337
-5.461 4.919 3.971
Se Th C
2 2 2
Direct
0.673 0.173 0.346
0.327 0.827 0.654
0.127 0.627 0.254
0.873 0.373 0.746
0.346 0.500 0.000
0.654 0.500 0.000
```

ΔE_f (raw) = -750.7 meV per atom